The following is a DFT calculation (PBE+U) of an optimized crystal structure of Ba2Ni3O8.

Cell: 3.9223 3.9223 11.8523 Å, 90.00 90.00 90.00°
Last column: magnetic moment on the atom in μB.
Fractional coordinates of all 13 atoms:
Ba  0.0000  0.0000  0.1732  0.01
Ba  0.0000  0.0000  0.8268  0.01
Ni  0.5000  0.5000  0.3433  1.69
Ni  0.5000  0.5000  0.0000  1.33
Ni  0.5000  0.5000  0.6567  1.69
O  0.5000  0.0000  0.3521  0.48
O  0.0000  0.5000  0.3521  0.48
O  0.0000  0.5000  0.0000  -0.40
O  0.5000  0.5000  0.1658  -0.29
O  0.5000  0.0000  0.6479  0.48
O  0.0000  0.5000  0.6479  0.48
O  0.5000  0.5000  0.8342  -0.29
O  0.5000  0.0000  0.0000  -0.40

- E_tot (eV per atom) = -4.882
- density of states at the Fermi level (states/eV per atom) = 0.838
- theoretical density (g cm⁻³) = 5.27